Entry 1:
! Pa2RuRh2 | Alexandria via LeMat-Bulk | PBE | relaxed; values from VASP
&SYSTEM
  ibrav = 0, nat = 10, ntyp = 3
/
ATOMIC_SPECIES
Pa 231.04 Pa.upf
Ru 101.07 Ru.upf
Rh 102.91 Rh.upf
CELL_PARAMETERS angstrom
4.915 -3.071 0.000
4.915 3.071 0.000
-2.342 0.000 6.356
ATOMIC_POSITIONS angstrom
Pa 1.170 0.811 0.974
Pa -0.001 -0.811 4.152
Pa 7.489 0.811 2.204
Pa 6.318 -0.811 5.382
Ru 4.330 1.731 1.589
Ru 3.159 -1.731 4.767
Rh 2.439 0.647 3.413
Rh 3.610 -0.647 0.235
Rh 3.878 0.647 6.122
Rh 5.049 -0.647 2.943
! SG: No. 15
! M_tot in μB per formula unit: 0.000
! Energy of formation in eV/atom: -0.6917
! Calculated total energy in eV/atom: -9.286

Entry 2:
! PaRuRh2 | Alexandria via LeMat-Bulk | PBE | relaxed; values from VASP
&SYSTEM
  ibrav = 0, nat = 4, ntyp = 3
/
ATOMIC_SPECIES
Pa 231.04 Pa.upf
Ru 101.07 Ru.upf
Rh 102.91 Rh.upf
CELL_PARAMETERS angstrom
4.025 0.000 0.000
0.000 4.025 0.000
0.000 0.000 4.108
ATOMIC_POSITIONS angstrom
Pa 0.000 0.000 0.000
Ru 2.013 2.013 0.000
Rh 0.000 2.013 2.054
Rh 2.013 0.000 2.054
! SG: No. 123
! M_tot in μB per formula unit: 0.000
! Energy of formation in eV/atom: -0.7140
! Calculated total energy in eV/atom: -9.083
! Energy relative to the lowest polymorph listed for this composition in meV per atom: 0

Entry 3:
! Pa4Ru4Rh5 | Alexandria via LeMat-Bulk | PBE | relaxed; values from VASP
&SYSTEM
  ibrav = 0, nat = 13, ntyp = 3
/
ATOMIC_SPECIES
Pa 231.04 Pa.upf
Ru 101.07 Ru.upf
Rh 102.91 Rh.upf
CELL_PARAMETERS angstrom
-5.373 5.373 1.988
5.373 -5.373 1.988
5.373 5.373 -1.988
ATOMIC_POSITIONS angstrom
Pa 2.545 1.282 0.000
Pa 4.091 -2.829 1.988
Pa 1.282 8.202 0.000
Pa 2.829 4.091 1.988
Ru 6.512 0.927 0.000
Ru 0.927 4.235 0.000
Ru 4.446 1.139 1.988
Ru -1.139 4.446 1.988
Rh 0.000 0.000 0.000
Rh 4.759 3.348 0.000
Rh 2.026 -0.615 1.988
Rh 3.348 5.988 0.000
Rh 0.615 2.026 1.988
! SG: No. 87
! M_tot in μB per formula unit: 0.000
! Energy of formation in eV/atom: -0.5697
! Calculated total energy in eV/atom: -9.173

Entry 4:
! Pa4RuRh3 | Alexandria via LeMat-Bulk | PBE | relaxed; values from VASP
&SYSTEM
  ibrav = 0, nat = 8, ntyp = 3
/
ATOMIC_SPECIES
Pa 231.04 Pa.upf
Ru 101.07 Ru.upf
Rh 102.91 Rh.upf
CELL_PARAMETERS angstrom
3.839 0.000 0.000
0.000 3.982 0.000
0.000 0.000 11.147
ATOMIC_POSITIONS angstrom
Pa 0.000 0.000 0.000
Pa 0.000 1.991 3.042
Pa 1.919 0.000 5.515
Pa 1.919 1.991 8.612
Ru 1.919 0.000 2.671
Rh 0.000 0.000 8.217
Rh 0.000 1.991 5.996
Rh 1.919 1.991 0.390
! SG: No. 25
! M_tot in μB per formula unit: 0.000
! Energy of formation in eV/atom: -0.7018
! Calculated total energy in eV/atom: -9.366